(1)
A plane-wave DFT calculation with PBE was carried out for a geometry-optimized ScGa2ICl structure.

Unit cell a=5.9622 b=5.4212 c=5.9622 alpha=90.00 beta=90.00 gamma=90.00
With the nearest neighbours (Å) after each atom.
Fractional coordinates of all 5 atoms:
Ga 0.5000 0.0000 0.0000  2 I 2.98
Ga 0.0000 0.0000 0.5000  2 I 2.98
Sc 0.0000 0.5000 0.0000  2 I 2.71
Cl 0.5000 0.5000 0.5000  8 Ga 4.03, 4 Sc 4.22
I 0.0000 0.0000 0.0000  2 Sc 2.71, 4 Ga 2.98

Summary:
Fermi-level density of states	0.75	states/eV per atom
calculated total energy	-2.7585	eV/atom
formation energy without anion corrections	0.398	eV per atom
V	192.7	Å³ per cell

(2)
A plane-wave DFT calculation with PBE was carried out for a geometry-optimized Ag5Sn12Hg3 structure.

Unit cell a=14.4573 b=14.4573 c=14.4573 alpha=109.47 beta=109.47 gamma=109.47
With the nearest neighbours (Å) after each atom.
Fractional coordinates of all 80 atoms:
Sn 0.2717 0.8711 0.9423  2 Ag 2.75-2.84, 1 Hg 2.91
Sn 0.0994 0.1706 0.2283  2 Ag 2.75-2.84, 1 Hg 2.91
Sn 0.5994 0.8711 0.4288  2 Ag 2.75-2.84, 1 Hg 2.91
Sn 0.9288 0.8294 0.5577  2 Ag 2.75-2.84, 1 Hg 2.91
Sn 0.9288 0.0994 0.8711  2 Ag 2.75-2.84, 1 Hg 2.91
Sn 0.9006 0.8294 0.7717  2 Ag 2.75-2.84, 1 Hg 2.91
Sn 0.2717 0.4006 0.8294  2 Ag 2.75-2.84, 1 Hg 2.91
Sn 0.0577 0.6289 0.7283  2 Ag 2.75-2.84, 1 Hg 2.91
Sn 0.7283 0.1289 0.0577  2 Ag 2.75-2.84, 1 Hg 2.91
Sn 0.7283 0.5994 0.1706  2 Ag 2.75-2.84, 1 Hg 2.91
Sn 0.8294 0.9006 0.2717  2 Ag 2.75-2.84, 1 Hg 2.91
Sn 0.1289 0.4006 0.0712  2 Ag 2.75-2.84, 1 Hg 2.91
Sn 0.3711 0.4288 0.0994  2 Ag 2.75-2.84, 1 Hg 2.91
Sn 0.1289 0.7283 0.5577  2 Ag 2.75-2.84, 1 Hg 2.91
Sn 0.8711 0.5994 0.9288  2 Ag 2.75-2.84, 1 Hg 2.91
Sn 0.4423 0.6706 0.0712  2 Ag 2.75-2.84, 1 Hg 2.91
Sn 0.9006 0.0712 0.6289  2 Ag 2.75-2.84, 1 Hg 2.91
Sn 0.5712 0.6289 0.4006  2 Ag 2.75-2.84, 1 Hg 2.91
Sn 0.6706 0.4423 0.5712  2 Ag 2.75-2.84, 1 Hg 2.91
Sn 0.4288 0.0577 0.3294  2 Ag 2.75-2.84, 1 Hg 2.91
Sn 0.0712 0.9006 0.1289  2 Ag 2.75-2.84, 1 Hg 2.91
Sn 0.5577 0.3294 0.9288  2 Ag 2.75-2.84, 1 Hg 2.91
Sn 0.9423 0.3711 0.2717  2 Ag 2.75-2.84, 1 Hg 2.91
Sn 0.6289 0.0577 0.2283  2 Ag 2.75-2.84, 1 Hg 2.91
Sn 0.7717 0.3294 0.9006  2 Ag 2.75-2.84, 1 Hg 2.91
Sn 0.0712 0.1706 0.4423  2 Ag 2.75-2.84, 1 Hg 2.91
Sn 0.5577 0.2283 0.1289  2 Ag 2.75-2.84, 1 Hg 2.91
Sn 0.4423 0.7717 0.8711  2 Ag 2.75-2.84, 1 Hg 2.91
Sn 0.4288 0.3711 0.5994  2 Ag 2.75-2.84, 1 Hg 2.91
Sn 0.5994 0.7283 0.6706  2 Ag 2.75-2.84, 1 Hg 2.91
Sn 0.2283 0.5577 0.6289  2 Ag 2.75-2.84, 1 Hg 2.91
Sn 0.3294 0.7717 0.4006  2 Ag 2.75-2.84, 1 Hg 2.91
Sn 0.8711 0.2717 0.4423  2 Ag 2.75-2.84, 1 Hg 2.91
Sn 0.2283 0.6706 0.0994  2 Ag 2.75-2.84, 1 Hg 2.91
Sn 0.8294 0.9288 0.0577  2 Ag 2.75-2.84, 1 Hg 2.91
Sn 0.5712 0.9423 0.6706  2 Ag 2.75-2.84, 1 Hg 2.91
Sn 0.0994 0.9288 0.3711  2 Ag 2.75-2.84, 1 Hg 2.91
Sn 0.9423 0.5712 0.1706  2 Ag 2.75-2.84, 1 Hg 2.91
Sn 0.3294 0.5577 0.4288  2 Ag 2.75-2.84, 1 Hg 2.91
Sn 0.0577 0.4288 0.8294  2 Ag 2.75-2.84, 1 Hg 2.91
Sn 0.7717 0.4423 0.3711  2 Ag 2.75-2.84, 1 Hg 2.91
Sn 0.4006 0.1289 0.5712  2 Ag 2.75-2.84, 1 Hg 2.91
Sn 0.6706 0.2283 0.5994  2 Ag 2.75-2.84, 1 Hg 2.91
Sn 0.3711 0.9423 0.7717  2 Ag 2.75-2.84, 1 Hg 2.91
Sn 0.4006 0.2717 0.3294  2 Ag 2.75-2.84, 1 Hg 2.91
Sn 0.1706 0.0712 0.9423  2 Ag 2.75-2.84, 1 Hg 2.91
Sn 0.1706 0.0994 0.7283  2 Ag 2.75-2.84, 1 Hg 2.91
Sn 0.6289 0.5712 0.9006  2 Ag 2.75-2.84, 1 Hg 2.91
Ag 0.0000 0.0000 0.0000  6 Sn 2.84
Ag 0.2500 0.8750 0.1250  4 Sn 2.75
Ag 0.6250 0.8750 0.2500  4 Sn 2.75
Ag 0.5000 0.5000 0.0000  6 Sn 2.84
Ag 0.2500 0.3750 0.6250  4 Sn 2.75
Ag 0.7500 0.6250 0.3750  4 Sn 2.75
Ag 0.5000 0.0000 0.0000  6 Sn 2.84
Ag 0.3750 0.2500 0.1250  4 Sn 2.75
Ag 0.6250 0.7500 0.8750  4 Sn 2.75
Ag 0.3750 0.1250 0.7500  4 Sn 2.75
Ag 0.5000 0.0000 0.5000  6 Sn 2.84
Ag 0.1250 0.7500 0.3750  4 Sn 2.75
Ag 0.1250 0.3750 0.2500  4 Sn 2.75
Ag 0.5000 0.5000 0.5000  6 Sn 2.84
Ag 0.7500 0.1250 0.8750  4 Sn 2.75
Ag 0.0000 0.5000 0.5000  6 Sn 2.84
Ag 0.0000 0.0000 0.5000  6 Sn 2.84
Ag 0.0000 0.5000 0.0000  6 Sn 2.84
Ag 0.8750 0.2500 0.6250  4 Sn 2.75
Ag 0.8750 0.6250 0.7500  4 Sn 2.75
Hg 0.8750 0.7500 0.1250  8 Sn 2.91-3.23
Hg 0.7500 0.3750 0.1250  8 Sn 2.91-3.23
Hg 0.2500 0.6250 0.8750  8 Sn 2.91-3.23
Hg 0.8750 0.1250 0.2500  8 Sn 2.91-3.23
Hg 0.3750 0.6250 0.2500  8 Sn 2.91-3.23
Hg 0.3750 0.7500 0.6250  8 Sn 2.91-3.23
Hg 0.6250 0.3750 0.7500  8 Sn 2.91-3.23
Hg 0.1250 0.8750 0.7500  8 Sn 2.91-3.23
Hg 0.1250 0.2500 0.8750  8 Sn 2.91-3.23
Hg 0.2500 0.1250 0.3750  8 Sn 2.91-3.23
Hg 0.7500 0.8750 0.6250  8 Sn 2.91-3.23
Hg 0.6250 0.2500 0.3750  8 Sn 2.91-3.23

Summary:
Fermi-level density of states	0.36	states/eV per atom
calculated total energy	-2.9866	eV/atom
V	2326.2	Å³ per cell
formation energy from the elements	173	meV per atom

(3)
A plane-wave DFT calculation with PBE was carried out for a geometry-optimized BeCrTe2I structure.

Unit cell a=5.1665 b=5.1665 c=5.6719 alpha=90.00 beta=90.00 gamma=90.00
With the nearest neighbours (Å) after each atom.
Fractional coordinates of all 5 atoms:
Te 0.5000 0.0000 0.0000  2 Cr 2.58
Te 0.0000 0.5000 0.0000  2 Cr 2.58
Cr 0.0000 0.0000 0.0000  4 Te 2.58, 2 I 2.84
I 0.0000 0.0000 0.5000  2 Cr 2.84
Be 0.5000 0.5000 0.5000  4 I 3.65, 8 Te 3.84

Summary:
Fermi-level density of states	1.13	states/eV per atom
calculated total energy	-3.4692	eV/atom
formation energy without anion corrections	0.767	eV per atom
distance to the lowest polymorph of the same formula	0.000	eV/atom
V	151.4	Å³ per cell

(4)
A plane-wave DFT calculation with PBE was carried out for a geometry-optimized Tm5Sn2 structure.

Unit cell a=4.5185 b=4.5447 c=19.4094 alpha=90.00 beta=96.68 gamma=90.00
With the nearest neighbours (Å) after each atom.
Fractional coordinates of all 14 atoms:
Tm 0.7499 0.2500 0.4999  4 Tm 3.20, 4 Sn 3.23
Tm 0.3903 0.2500 0.7807  5 Sn 3.11-3.25
Tm 0.5348 0.2500 0.0695  8 Tm 3.20-3.54, 2 Sn 3.26
Tm 0.4652 0.7500 0.9305  8 Tm 3.20-3.54, 2 Sn 3.26
Tm 0.1764 0.2500 0.3527  5 Sn 3.11-3.25
Tm 0.0361 0.7500 0.0722  6 Tm 3.20-3.54, 2 Sn 3.23
Tm 0.9639 0.2500 0.9278  6 Tm 3.20-3.54, 2 Sn 3.23
Tm 0.8236 0.7500 0.6473  5 Sn 3.11-3.25
Tm 0.2501 0.7500 0.5001  4 Tm 3.20, 4 Sn 3.23
Tm 0.6097 0.7500 0.2193  5 Sn 3.11-3.25
Sn 0.0957 0.2500 0.1914  9 Tm 3.11-3.26
Sn 0.6903 0.7500 0.3807  9 Tm 3.11-3.25
Sn 0.9043 0.7500 0.8086  9 Tm 3.11-3.26
Sn 0.3097 0.2500 0.6193  9 Tm 3.11-3.25

Summary:
Fermi-level density of states	0.91	states/eV per atom
calculated total energy	-4.7897	eV/atom
distance to the lowest polymorph of the same formula	0.000	eV/atom
V	395.9	Å³ per cell
formation energy from the elements	-452	meV per atom

- Which formula does entry 2 have?
  Ag5Sn12Hg3